1.
# PBE Li2AlHg, optimized geometry
data_Li2AlHg
_symmetry_space_group_name_H-M 'F m -3 m'
_symmetry_Int_Tables_number 225
_symmetry_space_group_name_Hall '-F 4 2 3'
_cell_length_a 6.449
_cell_length_b 6.449
_cell_length_c 6.449
_cell_angle_alpha 90.00
_cell_angle_beta 90.00
_cell_angle_gamma 90.00
loop_
_atom_site_label
_atom_site_type_symbol
_atom_site_fract_x
_atom_site_fract_y
_atom_site_fract_z
Li1 Li 0.250 0.250 0.250
Al1 Al 0.000 0.000 0.000
Hg1 Hg 0.000 0.000 0.500
# * final energy: -34.8 eV per cell
# * crystal system: cubic
# * E_form: -205 meV per atom
# * spin magnetization: 0.0000 μB per atom

=====

2.
# PBE SrGaAg4, optimized geometry
data_SrGaAg4
_symmetry_space_group_name_H-M 'P 4/m m m'
_symmetry_Int_Tables_number 123
_symmetry_space_group_name_Hall '-P 4 2'
_cell_length_a 4.859
_cell_length_b 4.859
_cell_length_c 7.537
_cell_angle_alpha 90.00
_cell_angle_beta 90.00
_cell_angle_gamma 90.00
loop_
_atom_site_label
_atom_site_type_symbol
_atom_site_fract_x
_atom_site_fract_y
_atom_site_fract_z
Sr1 Sr 0.000 0.000 0.000
Ga1 Ga 0.500 0.500 0.500
Ag1 Ag 0.000 0.500 0.500
Ag2 Ag 0.500 0.500 0.174
# * final energy: -14.9 eV per cell
# * crystal system: tetragonal
# * E_form: 195 meV per atom
# * excess energy over the best structure of this formula in the dataset: 1.96 eV per formula unit
# * spin magnetization: 0.0000 μB per atom

=====

3.
# PBE K6Na12Pb, optimized geometry
data_K6Na12Pb
_symmetry_space_group_name_H-M 'R -3'
_symmetry_Int_Tables_number 148
_symmetry_space_group_name_Hall '-R 3'
_cell_length_a 12.0183
_cell_length_b 12.0183
_cell_length_c 21.0549
_cell_angle_alpha 90.00
_cell_angle_beta 90.00
_cell_angle_gamma 120.00
loop_
_atom_site_label
_atom_site_type_symbol
_atom_site_fract_x
_atom_site_fract_y
_atom_site_fract_z
K1 K 0.0765 0.5387 0.2671
Na1 Na 0.1042 0.8952 0.2453
Na2 Na 0.1106 0.2217 0.8955
Pb1 Pb 0.0000 0.0000 0.0000
# * final energy: -78.6 eV per cell
# * crystal system: trigonal
# * E_form: -4 meV per atom
# * spin magnetization: 0.0000 μB per atom

=====

4.
# PBE Pr6SmTl6, optimized geometry
data_Pr6SmTl6
_symmetry_space_group_name_H-M 'P 6/m m m'
_symmetry_Int_Tables_number 191
_symmetry_space_group_name_Hall '-P 6 2'
_cell_length_a 6.5575
_cell_length_b 6.5575
_cell_length_c 11.1139
_cell_angle_alpha 90.00
_cell_angle_beta 90.00
_cell_angle_gamma 120.00
loop_
_atom_site_label
_atom_site_type_symbol
_atom_site_fract_x
_atom_site_fract_y
_atom_site_fract_z
Pr1 Pr 0.0000 0.0000 0.1671
Pr2 Pr 0.3333 0.6667 0.0000
Pr3 Pr 0.3333 0.6667 0.5000
Sm1 Sm 0.0000 0.0000 0.5000
Tl1 Tl 0.0000 0.5000 0.2536
# * final energy: -50.6 eV per cell
# * crystal system: hexagonal
# * E_form: -229 meV per atom
# * spin magnetization: 0.1711 μB per atom

=====

5.
# PBE TaAsI3, optimized geometry
data_TaAsI3
_symmetry_space_group_name_H-M 'P m -3 m'
_symmetry_Int_Tables_number 221
_symmetry_space_group_name_Hall '-P 4 2 3'
_cell_length_a 5.603
_cell_length_b 5.603
_cell_length_c 5.603
_cell_angle_alpha 90.00
_cell_angle_beta 90.00
_cell_angle_gamma 90.00
loop_
_atom_site_label
_atom_site_type_symbol
_atom_site_fract_x
_atom_site_fract_y
_atom_site_fract_z
Ta1 Ta 0.000 0.000 0.000
As1 As 0.500 0.500 0.500
I1 I 0.000 0.000 0.500
# * final energy: -18.1 eV per cell
# * ΔE_f (raw): 0.619 eV per atom
# * crystal system: cubic
# * excess energy over the best structure of this formula in the dataset: 0.00 eV per formula unit
# * spin magnetization: 0.4753 μB per atom

=====

6.
# PBE Dy3UPa2As6, optimized geometry
data_Dy3UPa2As6
_symmetry_space_group_name_H-M 'C 1 2/m 1'
_symmetry_Int_Tables_number 12
_cell_length_a 17.911
_cell_length_b 4.094
_cell_length_c 8.221
_cell_angle_alpha 90.00
_cell_angle_beta 103.70
_cell_angle_gamma 90.00
loop_
_symmetry_equiv_pos_as_xyz
'x,y,z'
'-x,-y,-z'
'-x,y,-z'
'x,-y,z'
'x+1/2,y+1/2,z'
'-x+1/2,-y+1/2,-z'
'-x+1/2,y+1/2,-z'
'x+1/2,-y+1/2,z'
loop_
_atom_site_label
_atom_site_type_symbol
_atom_site_fract_x
_atom_site_fract_y
_atom_site_fract_z
Dy1 Dy 0.000 0.000 0.000
Dy2 Dy 0.167 0.500 0.332
U1 U 0.000 0.000 0.500
Pa1 Pa 0.165 0.500 0.830
As1 As 0.000 0.500 0.251
As2 As 0.166 0.000 0.583
As3 As 0.168 0.000 0.081
# * final energy: -173.5 eV per cell
# * crystal system: monoclinic
# * E_form: -1232 meV per atom
# * spin magnetization: 0.2660 μB per atom

=====

7.
# PBE LaDy2SbO8, optimized geometry
data_LaDy2SbO8
_symmetry_space_group_name_H-M 'P 1 2/m 1'
_symmetry_Int_Tables_number 10
_cell_length_a 4.187
_cell_length_b 7.418
_cell_length_c 5.284
_cell_angle_alpha 90.00
_cell_angle_beta 93.62
_cell_angle_gamma 90.00
loop_
_symmetry_equiv_pos_as_xyz
'x,y,z'
'-x,-y,-z'
'-x,y,-z'
'x,-y,z'
loop_
_atom_site_label
_atom_site_type_symbol
_atom_site_fract_x
_atom_site_fract_y
_atom_site_fract_z
La1 La 0.000 0.000 0.000
Dy1 Dy 0.500 0.258 0.500
Sb1 Sb 0.000 0.500 0.000
O1 O 0.059 0.291 0.754
O2 O 0.415 0.500 0.215
O3 O 0.487 0.000 0.262
# * final energy: -87.6 eV per cell
# * ΔE_f (raw): -2.473 eV per atom
# * crystal system: monoclinic
# * spin magnetization: 0.1683 μB per atom

=====

8.
# PBE SmDy3Tm8, optimized geometry
data_SmDy3Tm8
_symmetry_space_group_name_H-M 'C 1 m 1'
_symmetry_Int_Tables_number 8
_cell_length_a 12.750
_cell_length_b 10.767
_cell_length_c 6.219
_cell_angle_alpha 90.00
_cell_angle_beta 119.14
_cell_angle_gamma 90.00
loop_
_symmetry_equiv_pos_as_xyz
'x,y,z'
'x,-y,z'
'x+1/2,y+1/2,z'
'x+1/2,-y+1/2,z'
loop_
_atom_site_label
_atom_site_type_symbol
_atom_site_fract_x
_atom_site_fract_y
_atom_site_fract_z
Sm1 Sm 0.000 0.000 0.000
Dy1 Dy 0.000 0.500 0.500
Dy2 Dy 0.249 0.500 0.415
Dy3 Dy 0.251 0.000 0.916
Tm1 Tm 0.000 0.167 0.499
Tm2 Tm 0.000 0.334 0.999
Tm3 Tm 0.249 0.333 0.916
Tm4 Tm 0.251 0.167 0.418
# * final energy: -108.5 eV per cell
# * crystal system: monoclinic
# * E_form: 4 meV per atom
# * spin magnetization: 0.0003 μB per atom

=====

9.
# PBE AlTc3Pb, optimized geometry
data_AlTc3Pb
_symmetry_space_group_name_H-M 'P m -3 m'
_symmetry_Int_Tables_number 221
_symmetry_space_group_name_Hall '-P 4 2 3'
_cell_length_a 4.997
_cell_length_b 4.997
_cell_length_c 4.997
_cell_angle_alpha 90.00
_cell_angle_beta 90.00
_cell_angle_gamma 90.00
loop_
_atom_site_label
_atom_site_type_symbol
_atom_site_fract_x
_atom_site_fract_y
_atom_site_fract_z
Al1 Al 0.000 0.000 0.000
Tc1 Tc 0.000 0.500 0.500
Pb1 Pb 0.500 0.500 0.500
# * final energy: -26.8 eV per cell
# * crystal system: cubic
# * E_form: 2350 meV per atom
# * excess energy over the best structure of this formula in the dataset: 5.85 eV per formula unit
# * spin magnetization: 1.2000 μB per atom

=====

10.
# PBE Nd2Mg3Ga2, optimized geometry
data_Nd2Mg3Ga2
_symmetry_space_group_name_H-M 'C 1 2/m 1'
_symmetry_Int_Tables_number 12
_cell_length_a 11.044
_cell_length_b 4.490
_cell_length_c 7.098
_cell_angle_alpha 90.00
_cell_angle_beta 95.02
_cell_angle_gamma 90.00
loop_
_symmetry_equiv_pos_as_xyz
'x,y,z'
'-x,-y,-z'
'-x,y,-z'
'x,-y,z'
'x+1/2,y+1/2,z'
'-x+1/2,-y+1/2,-z'
'-x+1/2,y+1/2,-z'
'x+1/2,-y+1/2,z'
loop_
_atom_site_label
_atom_site_type_symbol
_atom_site_fract_x
_atom_site_fract_y
_atom_site_fract_z
Nd1 Nd 0.128 0.000 0.342
Mg1 Mg 0.000 0.500 0.000
Mg2 Mg 0.175 0.000 0.853
Ga1 Ga 0.087 0.500 0.631
# * final energy: -45.6 eV per cell
# * crystal system: monoclinic
# * E_form: -345 meV per atom
# * spin magnetization: 0.0000 μB per atom

=====

11.
# PBE Tb2DySc3Te6, optimized geometry
data_Tb2DySc3Te6
_symmetry_space_group_name_H-M 'C 1 2/m 1'
_symmetry_Int_Tables_number 12
_cell_length_a 18.612
_cell_length_b 4.255
_cell_length_c 8.566
_cell_angle_alpha 90.00
_cell_angle_beta 103.49
_cell_angle_gamma 90.00
loop_
_symmetry_equiv_pos_as_xyz
'x,y,z'
'-x,-y,-z'
'-x,y,-z'
'x,-y,z'
'x+1/2,y+1/2,z'
'-x+1/2,-y+1/2,-z'
'-x+1/2,y+1/2,-z'
'x+1/2,-y+1/2,z'
loop_
_atom_site_label
_atom_site_type_symbol
_atom_site_fract_x
_atom_site_fract_y
_atom_site_fract_z
Tb1 Tb 0.167 0.000 0.333
Dy1 Dy 0.000 0.500 0.000
Sc1 Sc 0.000 0.500 0.500
Sc2 Sc 0.168 0.000 0.832
Te1 Te 0.004 0.000 0.742
Te2 Te 0.163 0.500 0.592
Te3 Te 0.170 0.500 0.073
# * final energy: -132.2 eV per cell
# * ΔE_f (raw): -1.198 eV per atom
# * crystal system: monoclinic
# * spin magnetization: 0.0000 μB per atom

=====

12.
# PBE SiPbBr, optimized geometry
data_SiPbBr
_symmetry_space_group_name_H-M 'I 4 m m'
_symmetry_Int_Tables_number 107
_symmetry_space_group_name_Hall 'I 4 -2'
_cell_length_a 4.137
_cell_length_b 4.137
_cell_length_c 10.944
_cell_angle_alpha 90.00
_cell_angle_beta 90.00
_cell_angle_gamma 90.00
loop_
_atom_site_label
_atom_site_type_symbol
_atom_site_fract_x
_atom_site_fract_y
_atom_site_fract_z
Si1 Si 0.000 0.000 0.000
Pb1 Pb 0.000 0.000 0.512
Br1 Br 0.000 0.000 0.225
# * final energy: -20.8 eV per cell
# * ΔE_f (raw): 0.132 eV per atom
# * crystal system: tetragonal
# * excess energy over the best structure of this formula in the dataset: 0.00 eV per formula unit
# * spin magnetization: 0.0000 μB per atom

=====

13.
# PBE Pm2YTm6, optimized geometry
data_Pm2YTm6
_symmetry_space_group_name_H-M 'I m m m'
_symmetry_Int_Tables_number 71
_symmetry_space_group_name_Hall '-I 2 2'
_cell_length_a 3.477
_cell_length_b 10.241
_cell_length_c 16.003
_cell_angle_alpha 90.00
_cell_angle_beta 90.00
_cell_angle_gamma 90.00
loop_
_atom_site_label
_atom_site_type_symbol
_atom_site_fract_x
_atom_site_fract_y
_atom_site_fract_z
Pm1 Pm 0.000 0.000 0.157
Y1 Y 0.000 0.500 0.000
Tm1 Tm 0.000 0.312 0.500
Tm2 Tm 0.000 0.333 0.178
# * final energy: -83.6 eV per cell
# * crystal system: orthorhombic
# * E_form: 113 meV per atom
# * excess energy over the best structure of this formula in the dataset: 0.04 eV per formula unit
# * spin magnetization: 0.0000 μB per atom

=====

14.
# PBE Al2SiNi, optimized geometry
data_Al2SiNi
_symmetry_space_group_name_H-M 'P n a 21'
_symmetry_Int_Tables_number 33
_cell_length_a 6.704
_cell_length_b 8.155
_cell_length_c 4.899
_cell_angle_alpha 90.00
_cell_angle_beta 90.00
_cell_angle_gamma 90.00
loop_
_symmetry_equiv_pos_as_xyz
'x,y,z'
'-x,-y,z+1/2'
'-x+1/2,y+1/2,z+1/2'
'x+1/2,-y+1/2,z'
loop_
_atom_site_label
_atom_site_type_symbol
_atom_site_fract_x
_atom_site_fract_y
_atom_site_fract_z
Al1 Al 0.047 0.098 0.000
Al2 Al 0.080 0.606 0.749
Si1 Si 0.113 0.660 0.246
Ni1 Ni 0.098 0.169 0.494
# * final energy: -77.1 eV per cell
# * ΔE_f (raw): -0.145 eV per atom
# * crystal system: orthorhombic
# * excess energy over the best structure of this formula in the dataset: 0.67 eV per formula unit
# * spin magnetization: 0.0000 μB per atom

=====

15.
# PBE GdYMnAu, optimized geometry
data_GdYMnAu
_symmetry_space_group_name_H-M 'F -4 3 m'
_symmetry_Int_Tables_number 216
_symmetry_space_group_name_Hall 'F -4 2 3'
_cell_length_a 7.195
_cell_length_b 7.195
_cell_length_c 7.195
_cell_angle_alpha 90.00
_cell_angle_beta 90.00
_cell_angle_gamma 90.00
loop_
_atom_site_label
_atom_site_type_symbol
_atom_site_fract_x
_atom_site_fract_y
_atom_site_fract_z
Gd1 Gd 0.000 0.000 0.000
Y1 Y 0.000 0.000 0.500
Mn1 Mn 0.250 0.250 0.250
Au1 Au 0.250 0.250 0.750
# * final energy: -136.0 eV per cell
# * crystal system: cubic
# * E_form: -251 meV per atom
# * spin magnetization: 0.9737 μB per atom

=====

16.
# PBE NdCd2In2, optimized geometry
data_NdCd2In2
_symmetry_space_group_name_H-M 'P -3 m 1'
_symmetry_Int_Tables_number 164
_symmetry_space_group_name_Hall '-P 3 2"'
_cell_length_a 5.0546
_cell_length_b 5.0546
_cell_length_c 6.4556
_cell_angle_alpha 90.00
_cell_angle_beta 90.00
_cell_angle_gamma 120.00
loop_
_atom_site_label
_atom_site_type_symbol
_atom_site_fract_x
_atom_site_fract_y
_atom_site_fract_z
Nd1 Nd 0.0000 0.0000 0.0000
Cd1 Cd 0.3333 0.6667 0.2612
In1 In 0.3333 0.6667 0.7403
# * final energy: -12.8 eV per cell
# * crystal system: trigonal
# * E_form: -150 meV per atom
# * excess energy over the best structure of this formula in the dataset: 0.00 eV per formula unit
# * spin magnetization: 0.0000 μB per atom

=====

17.
# PBE Mg2Ga, optimized geometry
data_Mg2Ga
_symmetry_space_group_name_H-M 'C 1 2/c 1'
_symmetry_Int_Tables_number 15
_cell_length_a 9.046
_cell_length_b 5.454
_cell_length_c 5.747
_cell_angle_alpha 90.00
_cell_angle_beta 120.12
_cell_angle_gamma 90.00
loop_
_symmetry_equiv_pos_as_xyz
'x,y,z'
'-x,-y,-z'
'-x,y,-z+1/2'
'x,-y,z+1/2'
'x+1/2,y+1/2,z'
'-x+1/2,-y+1/2,-z'
'-x+1/2,y+1/2,-z+1/2'
'x+1/2,-y+1/2,z+1/2'
loop_
_atom_site_label
_atom_site_type_symbol
_atom_site_fract_x
_atom_site_fract_y
_atom_site_fract_z
Mg1 Mg 0.170 0.104 0.238
Ga1 Ga 0.000 0.415 0.750
# * final energy: -25.9 eV per cell
# * crystal system: monoclinic
# * E_form: -88 meV per atom
# * spin magnetization: 0.0000 μB per atom

=====

18.
# PBE Pm2PrThAs4, optimized geometry
data_Pm2PrThAs4
_symmetry_space_group_name_H-M 'P 1 2/m 1'
_symmetry_Int_Tables_number 10
_cell_length_a 7.365
_cell_length_b 4.263
_cell_length_c 7.377
_cell_angle_alpha 90.00
_cell_angle_beta 109.45
_cell_angle_gamma 90.00
loop_
_symmetry_equiv_pos_as_xyz
'x,y,z'
'-x,-y,-z'
'-x,y,-z'
'x,-y,z'
loop_
_atom_site_label
_atom_site_type_symbol
_atom_site_fract_x
_atom_site_fract_y
_atom_site_fract_z
Pm1 Pm 0.000 0.000 0.000
Pm2 Pm 0.000 0.500 0.500
Pr1 Pr 0.500 0.000 0.500
Th1 Th 0.500 0.500 0.000
As1 As 0.248 0.500 0.246
As2 As 0.250 0.000 0.753
# * final energy: -52.4 eV per cell
# * crystal system: monoclinic
# * E_form: -1514 meV per atom
# * spin magnetization: 0.0000 μB per atom

=====

19.
# PBE Li4Ag5Pd3, optimized geometry
data_Li4Ag5Pd3
_symmetry_space_group_name_H-M 'C 1 2/m 1'
_symmetry_Int_Tables_number 12
_cell_length_a 9.578
_cell_length_b 4.958
_cell_length_c 9.379
_cell_angle_alpha 90.00
_cell_angle_beta 110.22
_cell_angle_gamma 90.00
loop_
_symmetry_equiv_pos_as_xyz
'x,y,z'
'-x,-y,-z'
'-x,y,-z'
'x,-y,z'
'x+1/2,y+1/2,z'
'-x+1/2,-y+1/2,-z'
'-x+1/2,y+1/2,-z'
'x+1/2,-y+1/2,z'
loop_
_atom_site_label
_atom_site_type_symbol
_atom_site_fract_x
_atom_site_fract_y
_atom_site_fract_z
Li1 Li 0.116 0.000 0.282
Li2 Li 0.221 0.000 0.919
Ag1 Ag 0.000 0.500 0.000
Ag2 Ag 0.129 0.000 0.628
Ag3 Ag 0.132 0.500 0.471
Pd1 Pd 0.000 0.000 0.000
Pd2 Pd 0.130 0.500 0.781
# * final energy: -76.2 eV per cell
# * crystal system: monoclinic
# * E_form: -52 meV per atom
# * spin magnetization: 0.0000 μB per atom

=====

20.
# PBE LiZr2Tl, optimized geometry
data_LiZr2Tl
_symmetry_space_group_name_H-M 'P 4 m m'
_symmetry_Int_Tables_number 99
_cell_length_a 3.260
_cell_length_b 3.260
_cell_length_c 8.207
_cell_angle_alpha 90.00
_cell_angle_beta 90.00
_cell_angle_gamma 90.00
loop_
_symmetry_equiv_pos_as_xyz
'x,y,z'
'-y,x,z'
'-x,-y,z'
'y,-x,z'
'-x,y,z'
'y,x,z'
'x,-y,z'
'-y,-x,z'
loop_
_atom_site_label
_atom_site_type_symbol
_atom_site_fract_x
_atom_site_fract_y
_atom_site_fract_z
Li1 Li 0.000 0.000 0.000
Zr1 Zr 0.000 0.000 0.478
Zr2 Zr 0.500 0.500 0.735
Tl1 Tl 0.500 0.500 0.194
# * final energy: -21.5 eV per cell
# * crystal system: tetragonal
# * E_form: -30 meV per atom
# * spin magnetization: 0.0000 μB per atom